## LiZnAu2 (PBE)

Data for a relaxed LiZnAu2 crystal.

Cell: 6.3964 6.3964 6.3964 Å, 90.00 90.00 90.00°
Closest atoms and distances in Å follow each position.
Fractional positions:
Li 0.0000 0.0000 0.0000  4 Zn 2.77, 4 Au 2.77
Li 0.0000 0.5000 0.5000  4 Zn 2.77, 4 Au 2.77
Li 0.5000 0.0000 0.5000  4 Zn 2.77, 4 Au 2.77
Li 0.5000 0.5000 0.0000  4 Zn 2.77, 4 Au 2.77
Zn 0.2500 0.2500 0.7500  4 Li 2.77, 4 Au 2.77
Zn 0.2500 0.7500 0.2500  4 Li 2.77, 4 Au 2.77
Zn 0.7500 0.2500 0.2500  4 Li 2.77, 4 Au 2.77
Zn 0.7500 0.7500 0.7500  4 Li 2.77, 4 Au 2.77
Au 0.0000 0.0000 0.5000  4 Zn 2.77, 4 Au 2.77
Au 0.0000 0.5000 0.0000  4 Zn 2.77, 4 Au 2.77
Au 0.2500 0.2500 0.2500  4 Li 2.77, 4 Au 2.77
Au 0.2500 0.7500 0.7500  4 Au 2.77, 4 Li 2.77
Au 0.5000 0.0000 0.0000  4 Zn 2.77, 4 Au 2.77
Au 0.5000 0.5000 0.5000  4 Zn 2.77, 4 Au 2.77
Au 0.7500 0.2500 0.7500  4 Au 2.77, 4 Li 2.77
Au 0.7500 0.7500 0.2500  4 Au 2.77, 4 Li 2.77

V = 261.7 Å³ per cell
Electronic total energy = -44.40 eV for the cell shown
Spin magnetization = 0.0 Bohr magnetons per cell
Space-group type = F-43m, No. 216
E_form = -0.34 eV/atom

---

## LiZn2Au5 (PBE)

Data for a relaxed LiZn2Au5 crystal.

Cell: 5.5975 11.3191 4.1597 Å, 90.00 90.00 90.00°
Closest atoms and distances in Å follow each position.
Fractional positions:
Li 0.0000 0.0000 0.0000  8 Au 2.69-2.80
Li 0.5000 0.5000 0.0000  8 Au 2.69-2.80
Zn 0.2165 0.3672 0.5000  10 Au 2.76-2.93, 2 Li 3.02
Zn 0.2835 0.8672 0.5000  10 Au 2.76-2.93, 2 Li 3.02
Zn 0.7165 0.1328 0.5000  10 Au 2.76-2.93, 2 Li 3.02
Zn 0.7835 0.6328 0.5000  10 Au 2.76-2.93, 2 Li 3.02
Au 0.0000 0.5000 0.0000  2 Li 2.80, 4 Zn 2.84, 6 Au 2.91-2.93
Au 0.0349 0.7586 0.0000  1 Li 2.74, 4 Zn 2.79-2.89, 7 Au 2.81-3.04
Au 0.2105 0.1084 0.5000  2 Li 2.69, 4 Zn 2.76-2.93, 4 Au 2.91
Au 0.2895 0.6084 0.5000  2 Li 2.69, 4 Zn 2.76-2.93, 4 Au 2.91
Au 0.4651 0.2586 0.0000  1 Li 2.74, 4 Zn 2.79-2.89, 7 Au 2.81-3.04
Au 0.5000 0.0000 0.0000  2 Li 2.80, 4 Zn 2.84, 6 Au 2.91-2.93
Au 0.5349 0.7414 0.0000  1 Li 2.74, 4 Zn 2.79-2.89, 7 Au 2.81-3.04
Au 0.7105 0.3916 0.5000  2 Li 2.69, 4 Zn 2.76-2.93, 4 Au 2.91
Au 0.7895 0.8916 0.5000  2 Li 2.69, 4 Zn 2.76-2.93, 4 Au 2.91
Au 0.9651 0.2414 0.0000  1 Li 2.74, 4 Zn 2.79-2.89, 7 Au 2.81-3.04

V = 263.6 Å³ per cell
Electronic total energy = -46.13 eV for the cell shown
Spin magnetization = 0.0 Bohr magnetons per cell
Space-group type = Pbam, No. 55
E_form = -0.28 eV/atom
Energy above the most stable polymorph in this dataset = 0.000 eV/atom

---

## Li3Zn4Au4 (PBE)

Data for a relaxed Li3Zn4Au4 crystal.

Cell: 2.8318 4.1943 14.9590 Å, 97.92 94.21 90.02°
Closest atoms and distances in Å follow each position.
Fractional positions:
Li 0.0000 0.0000 0.0000  2 Zn 2.68, 2 Li 2.83, 8 Au 2.91-2.96
Li 0.3425 0.3553 0.7133  5 Au 2.74-2.75, 2 Li 2.83, 4 Zn 2.94-3.00
Li 0.6575 0.6447 0.2867  5 Au 2.74-2.75, 2 Li 2.83, 4 Zn 2.94-3.00
Zn 0.0927 0.0924 0.1815  5 Au 2.63-2.82, 3 Li 2.68-2.94, 2 Zn 2.83
Zn 0.2402 0.7367 0.4727  6 Zn 2.65-2.83, 4 Au 2.68-2.87
Zn 0.7598 0.2633 0.5273  6 Zn 2.65-2.83, 4 Au 2.68-2.87
Zn 0.9073 0.9076 0.8185  5 Au 2.63-2.82, 3 Li 2.68-2.94, 2 Zn 2.83
Au 0.1873 0.1805 0.3591  5 Zn 2.63-2.87, 4 Li 2.74-2.75, 2 Au 2.83
Au 0.4492 0.4482 0.8995  5 Li 2.75-2.96, 4 Zn 2.78-2.82, 3 Au 2.83-2.97
Au 0.5508 0.5518 0.1005  5 Li 2.75-2.96, 4 Zn 2.78-2.82, 3 Au 2.83-2.97
Au 0.8127 0.8195 0.6409  5 Zn 2.63-2.87, 4 Li 2.74-2.75, 2 Au 2.83

V = 175.5 Å³ per cell
Electronic total energy = -27.79 eV for the cell shown
Spin magnetization = 0.0 Bohr magnetons per cell
Space-group type = P-1, No. 2
E_form = -0.35 eV/atom

---

## LiZnAu (PBE)

Data for a relaxed LiZnAu crystal.

Cell: 2.8977 2.8977 6.6749 Å, 90.00 90.00 120.00°
Closest atoms and distances in Å follow each position.
Fractional positions:
Li 0.0000 0.0000 0.0000  3 Au 2.74, 3 Zn 2.77, 6 Li 2.90
Zn 0.3333 0.6667 0.3299  3 Li 2.77, 3 Au 2.85, 6 Zn 2.90
Au 0.6667 0.3333 0.6755  3 Li 2.74, 3 Zn 2.85, 6 Au 2.90

V = 48.5 Å³ per cell
Electronic total energy = -7.10 eV for the cell shown
Spin magnetization = 0.0 Bohr magnetons per cell
Space-group type = P3m1, No. 156
E_form = -0.21 eV/atom
Energy above the most stable polymorph in this dataset = 0.176 eV/atom

---

## Li6ZnAu5 (PBE)

Data for a relaxed Li6ZnAu5 crystal.

Cell: 7.4917 7.4917 4.5241 Å, 99.15 99.15 47.32°
Closest atoms and distances in Å follow each position.
Fractional positions:
Li 0.0755 0.5847 0.3222  7 Au 2.68-2.77, 1 Zn 2.79, 3 Li 2.94-2.96
Li 0.2404 0.7596 0.0000  6 Au 2.68-2.72, 2 Zn 2.75, 3 Li 2.89-2.96
Li 0.4153 0.9245 0.6778  7 Au 2.68-2.77, 1 Zn 2.79, 3 Li 2.94-2.96
Li 0.5847 0.0755 0.3222  7 Au 2.68-2.77, 1 Zn 2.79, 3 Li 2.94-2.96
Li 0.7596 0.2404 0.0000  6 Au 2.68-2.72, 2 Zn 2.75, 3 Li 2.89-2.96
Li 0.9245 0.4153 0.6778  7 Au 2.68-2.77, 1 Zn 2.79, 3 Li 2.94-2.96
Zn 0.5000 0.5000 0.5000  8 Li 2.75-2.79, 4 Au 2.83-3.01
Au 0.0000 0.0000 0.5000  8 Li 2.68-2.76, 2 Au 2.95, 2 Zn 3.01
Au 0.1684 0.1684 0.1742  8 Li 2.68-2.72, 1 Au 2.95
Au 0.3419 0.3419 0.8281  8 Li 2.68-2.77, 1 Zn 2.83
Au 0.6581 0.6581 0.1719  8 Li 2.68-2.77, 1 Zn 2.83
Au 0.8316 0.8316 0.8258  8 Li 2.68-2.72, 1 Au 2.95

V = 183.8 Å³ per cell
Electronic total energy = -35.09 eV for the cell shown
Spin magnetization = 0.0 Bohr magnetons per cell
Space-group type = C2/m, No. 12
E_form = -0.50 eV/atom

---

## LiZn7Au3 (PBE)

Data for a relaxed LiZn7Au3 crystal.

Cell: 17.9772 17.9772 8.1650 Å, 90.00 90.00 170.99°
Closest atoms and distances in Å follow each position.
Fractional positions:
Li 0.0968 0.9032 0.7500  3 Au 2.65-2.87, 2 Li 2.82
Li 0.9032 0.0968 0.2500  3 Au 2.65-2.87, 2 Li 2.82
Zn 0.2764 0.7236 0.0551  5 Zn 2.53-2.82, 2 Au 2.71
Zn 0.2764 0.7236 0.4449  5 Zn 2.53-2.82, 2 Au 2.71
Zn 0.3539 0.6461 0.5019  4 Au 2.65-2.73, 3 Zn 2.82
Zn 0.3539 0.6461 0.9981  4 Au 2.65-2.73, 3 Zn 2.82
Zn 0.4683 0.5317 0.7500  6 Zn 2.60-2.82, 4 Au 2.80
Zn 0.4691 0.5309 0.0899  6 Zn 2.60-2.82, 2 Au 2.74
Zn 0.4691 0.5309 0.4101  6 Zn 2.60-2.82, 2 Au 2.74
Zn 0.5309 0.4691 0.5899  6 Zn 2.60-2.82, 2 Au 2.74
Zn 0.5309 0.4691 0.9101  6 Zn 2.60-2.82, 2 Au 2.74
Zn 0.5317 0.4683 0.2500  6 Zn 2.60-2.82, 4 Au 2.80
Zn 0.6461 0.3539 0.0019  4 Au 2.65-2.73, 3 Zn 2.82
Zn 0.6461 0.3539 0.4981  4 Au 2.65-2.73, 3 Zn 2.82
Zn 0.7236 0.2764 0.5551  5 Zn 2.53-2.82, 2 Au 2.71
Zn 0.7236 0.2764 0.9449  5 Zn 2.53-2.82, 2 Au 2.71
Au 0.0854 0.9146 0.0701  1 Li 2.65, 6 Zn 2.65-2.80, 3 Au 2.82-2.94
Au 0.0854 0.9146 0.4299  1 Li 2.65, 6 Zn 2.65-2.80, 3 Au 2.82-2.94
Au 0.1769 0.8231 0.7500  8 Zn 2.71-2.73, 2 Au 2.82, 1 Li 2.87
Au 0.8231 0.1769 0.2500  8 Zn 2.71-2.73, 2 Au 2.82, 1 Li 2.87
Au 0.9146 0.0854 0.5701  1 Li 2.65, 6 Zn 2.65-2.80, 3 Au 2.82-2.94
Au 0.9146 0.0854 0.9299  1 Li 2.65, 6 Zn 2.65-2.80, 3 Au 2.82-2.94

V = 413.4 Å³ per cell
Electronic total energy = -42.88 eV for the cell shown
Spin magnetization = 0.0 Bohr magnetons per cell
Space-group type = Cmcm, No. 63
E_form = -0.07 eV/atom

---

## LiZn6Au2 (PBE)

Data for a relaxed LiZn6Au2 crystal.

Cell: 7.2189 7.2189 4.3492 Å, 107.40 107.40 44.06°
Closest atoms and distances in Å follow each position.
Fractional positions:
Li 0.0000 0.0000 0.0000  4 Zn 2.58
Zn 0.0462 0.5612 0.3032  4 Zn 2.49-2.63, 3 Au 2.73-2.78
Zn 0.2575 0.7425 0.5000  3 Zn 2.49-2.63, 2 Li 2.58
Zn 0.4388 0.9538 0.6968  4 Zn 2.49-2.63, 3 Au 2.73-2.78
Zn 0.5612 0.0462 0.3032  4 Zn 2.49-2.63, 3 Au 2.73-2.78
Zn 0.7425 0.2575 0.5000  3 Zn 2.49-2.63, 2 Li 2.58
Zn 0.9538 0.4388 0.6968  4 Zn 2.49-2.63, 3 Au 2.73-2.78
Au 0.3856 0.3856 0.8847  10 Zn 2.73-2.93, 1 Au 2.90
Au 0.6144 0.6144 0.1153  10 Zn 2.73-2.93, 1 Au 2.90

V = 149.2 Å³ per cell
Electronic total energy = -17.15 eV for the cell shown
Spin magnetization = 0.0 Bohr magnetons per cell
Space-group type = C2/m, No. 12
E_form = -0.12 eV/atom
Energy above the most stable polymorph in this dataset = 0.104 eV/atom

---

## LiZn3Au2 (PBE)

Data for a relaxed LiZn3Au2 crystal.

Cell: 3.5370 8.6031 6.6910 Å, 90.00 90.00 90.00°
Closest atoms and distances in Å follow each position.
Fractional positions:
Li 0.0000 0.0775 0.0000  5 Au 2.69-2.92, 2 Zn 2.83
Li 0.0000 0.9225 0.5000  5 Au 2.69-2.92, 2 Zn 2.83
Zn 0.0000 0.3220 0.5696  4 Au 2.62-2.66, 4 Zn 2.80-2.81
Zn 0.0000 0.6780 0.0696  4 Au 2.62-2.66, 4 Zn 2.80-2.81
Zn 0.5000 0.1739 0.3051  4 Au 2.58-2.70, 2 Zn 2.81, 2 Li 2.83
Zn 0.5000 0.4024 0.8779  5 Au 2.70-2.86, 2 Zn 2.80
Zn 0.5000 0.5976 0.3779  5 Au 2.70-2.86, 2 Zn 2.80
Zn 0.5000 0.8261 0.8051  4 Au 2.58-2.70, 2 Zn 2.81, 2 Li 2.83
Au 0.0000 0.3858 0.1819  8 Zn 2.62-2.86, 1 Li 2.92
Au 0.0000 0.6142 0.6819  8 Zn 2.62-2.86, 1 Li 2.92
Au 0.5000 0.1147 0.7009  5 Zn 2.58-2.74, 4 Li 2.69-2.77
Au 0.5000 0.8853 0.2009  5 Zn 2.58-2.74, 4 Li 2.69-2.77

V = 203.6 Å³ per cell
Electronic total energy = -27.81 eV for the cell shown
Spin magnetization = 0.0 Bohr magnetons per cell
Space-group type = Pmc2_1, No. 26
E_form = -0.27 eV/atom
Energy above the most stable polymorph in this dataset = 0.029 eV/atom